First-principles (PBE-GGA) data for a relaxed structure of YErIn, as listed in the Alexandria database.

Cell: 5.2122 5.2122 3.6287 Å, 90.00 90.00 120.00°
Last column: nearest neighbours and their distance in Å.
Space group P3m1 (No. 156)
Asymmetric unit:
Y 0.0000 0.0000 0.0000 x1  3 In 3.21, 3 Er 3.41
Er 0.6667 0.3333 0.5554 x1  3 In 3.14, 3 Y 3.41
In 0.3333 0.6667 0.3100 x1  3 Er 3.14, 3 Y 3.21

Output
Magnetization = 0.00 μB/f.u.
Raw total energy = -0.177 Ha/atom
Energy relative to the elements = -0.2348 eV/atom

---

First-principles (PBE-GGA) data for a relaxed structure of Y2Er5In, as listed in the Alexandria database.

Cell: 4.8791 4.8791 19.9479 Å, 90.00 90.00 90.00°
Last column: nearest neighbours and their distance in Å.
Space group I4/mmm (No. 139)
Asymmetric unit:
Y 0.0000 0.0000 0.2455 x4  4 Y 3.45, 8 Er 3.48-3.61
Er 0.0000 0.0000 0.0000 x2  8 Er 3.43, 4 In 3.45
Er 0.0000 0.5000 0.1211 x8  2 In 3.43, 6 Er 3.43-3.45, 4 Y 3.48-3.61
In 0.0000 0.0000 0.5000 x2  12 Er 3.43-3.45

Output
Magnetization = 0.00 μB/f.u.
Raw total energy = -0.181 Ha/atom
Energy relative to the elements = -0.1099 eV/atom

---

First-principles (PBE-GGA) data for a relaxed structure of Y15Er4In, as listed in the Alexandria database.

Cell: 4.9785 4.9785 25.2378 Å, 90.00 90.00 90.00°
Last column: nearest neighbours and their distance in Å.
Space group P4/mmm (No. 123)
Asymmetric unit:
Y 0.0000 0.0000 0.0000 x1  8 Y 3.48, 4 In 3.52
Y 0.0000 0.0000 0.1956 x2  4 Er 3.52, 8 Y 3.53-3.59
Y 0.0000 0.0000 0.3988 x2  4 Er 3.52, 8 Y 3.55-3.57
Y 0.0000 0.5000 0.0966 x4  2 In 3.48, 8 Y 3.48-3.53, 2 Er 3.57
Y 0.0000 0.5000 0.2983 x4  8 Y 3.52-3.59, 4 Er 3.55-3.56
Y 0.0000 0.5000 0.5000 x2  8 Y 3.52-3.57, 4 Er 3.56
Er 0.5000 0.5000 0.1982 x2  12 Y 3.52-3.57
Er 0.5000 0.5000 0.3991 x2  12 Y 3.52-3.56
In 0.5000 0.5000 0.0000 x1  12 Y 3.48-3.52

Output
Magnetization = 0.01 μB/f.u.
Raw total energy = -0.218 Ha/atom
Energy relative to the elements = -0.0302 eV/atom

---

First-principles (PBE-GGA) data for a relaxed structure of YEr7In2, as listed in the Alexandria database.

Cell: 9.0559 15.3120 5.3872 Å, 90.00 90.00 90.00°
Last column: nearest neighbours and their distance in Å.
Space group Cmmm (No. 65)
Asymmetric unit:
Y 0.0000 0.0000 0.0000 x2  10 Er 3.50-3.66
Er 0.0000 0.2286 0.0000 x4  2 In 2.93
Er 0.0000 0.5000 0.5000 x2  2 In 3.00
Er 0.1807 0.1217 0.5000 x8  2 In 3.11-3.24, 2 Er 3.27-3.44
In 0.0000 0.3040 0.5000 x4  7 Er 2.93-3.24

Output
Magnetization = 0.08 μB/f.u.
Raw total energy = -0.148 Ha/atom
Energy relative to the elements = 0.3519 eV/atom

---

First-principles (PBE-GGA) data for a relaxed structure of Y12ErIn3, as listed in the Alexandria database.

Cell: 4.8801 4.8801 19.8720 Å, 90.00 90.00 90.00°
Last column: nearest neighbours and their distance in Å.
Space group P4/mmm (No. 123)
Asymmetric unit:
Y 0.0000 0.0000 0.0000 x1  4 In 3.45, 8 Y 3.45
Y 0.0000 0.0000 0.2449 x2  8 Y 3.44-3.48, 4 In 3.45
Y 0.0000 0.0000 0.5000 x1  4 Er 3.45, 8 Y 3.56
Y 0.0000 0.5000 0.1228 x4  4 In 3.43-3.45, 8 Y 3.44-3.45
Y 0.0000 0.5000 0.3694 x4  8 Y 3.45-3.56, 2 In 3.49, 2 Er 3.56
Er 0.5000 0.5000 0.5000 x1  12 Y 3.45-3.56
In 0.5000 0.5000 0.0000 x1  12 Y 3.45
In 0.5000 0.5000 0.2440 x2  12 Y 3.43-3.49

Output
Magnetization = 0.12 μB/f.u.
Raw total energy = -0.215 Ha/atom
Energy relative to the elements = -0.1960 eV/atom

---

First-principles (PBE-GGA) data for a relaxed structure of Y3ErIn4, as listed in the Alexandria database.

Cell: 3.7584 3.7584 15.0385 Å, 90.00 90.00 90.00°
Last column: nearest neighbours and their distance in Å.
Space group P4/mmm (No. 123)
Asymmetric unit:
Y 0.0000 0.0000 0.0000 x1  8 In 3.26
Y 0.0000 0.0000 0.2518 x2  8 In 3.26
Er 0.0000 0.0000 0.5000 x1  8 In 3.23
In 0.5000 0.5000 0.1260 x2  8 Y 3.26
In 0.5000 0.5000 0.3778 x2  4 Er 3.23, 4 Y 3.26

Output
Magnetization = 0.00 μB/f.u.
Raw total energy = -0.178 Ha/atom
Energy relative to the elements = -0.4845 eV/atom

---

First-principles (PBE-GGA) data for a relaxed structure of YEr2In, as listed in the Alexandria database.

Cell: 3.5735 3.5735 9.1249 Å, 90.00 90.00 90.00°
Last column: nearest neighbours and their distance in Å.
Space group P4/mmm (No. 123)
Asymmetric unit:
Y 0.0000 0.0000 0.0000 x1  8 Er 3.56, 4 Y 3.57
Er 0.5000 0.5000 0.2741 x2  4 In 3.26, 4 Y 3.56, 4 Er 3.57
In 0.0000 0.0000 0.5000 x1  8 Er 3.26, 4 In 3.57

Output
Magnetization = 0.00 μB/f.u.
Raw total energy = -0.177 Ha/atom
Energy relative to the elements = -0.2352 eV/atom

---

First-principles (PBE-GGA) data for a relaxed structure of Y4Er9In11, as listed in the Alexandria database.

Cell: 15.8734 23.2149 3.4779 Å, 90.00 90.00 90.00°
Last column: nearest neighbours and their distance in Å.
Space group Cmmm (No. 65)
Asymmetric unit:
Y 0.1727 0.0818 0.0000 x8  6 In 3.23-3.37, 3 Er 3.33-3.51, 2 Y 3.48
Er 0.0000 0.0000 0.0000 x2  4 In 3.31, 4 Y 3.33, 2 Er 3.48
Er 0.1072 0.4042 0.0000 x8  8 In 3.21-3.30, 3 Er 3.40-3.48, 1 Y 3.51
Er 0.1112 0.2238 0.0000 x8  8 In 3.21-3.44, 1 Y 3.44, 3 Er 3.48-3.53
In 0.0000 0.1213 0.5000 x4  6 Er 3.31-3.44, 4 Y 3.37, 2 In 3.48
In 0.0000 0.3120 0.5000 x4  8 Er 3.21-3.24, 4 In 3.48-3.59
In 0.0000 0.5000 0.5000 x2  4 In 3.24-3.48, 8 Er 3.30
In 0.2040 0.5000 0.5000 x4  4 Er 3.21, 4 Y 3.23, 3 In 3.24-3.48
In 0.2258 0.3165 0.5000 x8  3 In 3.18-3.48, 6 Er 3.25-3.31, 2 Y 3.35

Output
Magnetization = 0.00 μB/f.u.
Raw total energy = -0.163 Ha/atom
Energy relative to the elements = -0.3891 eV/atom